The following is a GGA-PBE calculation of HoCd4Ag5 after structural relaxation, from the Alexandria database.

a b c (Å): 3.4755 3.4755 16.7936
angles (deg): 90.00 90.00 90.00
Fractional positions:
Ho (0.0000, 0.0000, 0.0000)
Cd (0.0000, 0.0000, 0.2081)
Cd (0.0000, 0.0000, 0.4032)
Cd (0.0000, 0.0000, 0.5968)
Cd (0.0000, 0.0000, 0.7919)
Ag (0.5000, 0.5000, 0.1118)
Ag (0.5000, 0.5000, 0.3074)
Ag (0.5000, 0.5000, 0.5000)
Ag (0.5000, 0.5000, 0.6926)
Ag (0.5000, 0.5000, 0.8882)

Output
For the energy of formation from the pure elements, the calculation gives -0.105 eV per atom. The space group is P4/mmm. As for the density of states at the Fermi level: 0.354 states/eV per atom. The crystal system is tetragonal.



The following is a GGA-PBE calculation of CaPr2Br2N2 after structural relaxation, from the Alexandria database.

a b c (Å): 4.4540 4.4540 15.5541
angles (deg): 90.00 90.00 90.00
Fractional positions:
Ca (0.0000, 0.0000, 0.0000)
Ca (0.5000, 0.5000, 0.5000)
Pr (0.0000, 0.0000, 0.4026)
Pr (0.0000, 0.0000, 0.5974)
Pr (0.5000, 0.5000, 0.0974)
Pr (0.5000, 0.5000, 0.9026)
Br (0.0000, 0.0000, 0.1919)
Br (0.0000, 0.0000, 0.8081)
Br (0.5000, 0.5000, 0.3081)
Br (0.5000, 0.5000, 0.6919)
N (0.0000, 0.5000, 0.0000)
N (0.0000, 0.5000, 0.5000)
N (0.5000, 0.0000, 0.0000)
N (0.5000, 0.0000, 0.5000)

Output
The space group is I4/mmm. As for the density of states at the Fermi level: 0.095 states/eV per atom. The crystal system is tetragonal. Its raw formation energy is -1.226 eV/atom.



The following is a GGA-PBE calculation of NpAlCoOs after structural relaxation, from the Alexandria database.

a b c (Å): 6.3606 6.3606 6.3606
angles (deg): 90.00 90.00 90.00
Fractional positions:
Np (0.0000, 0.0000, 0.0000)
Np (0.0000, 0.5000, 0.5000)
Np (0.5000, 0.0000, 0.5000)
Np (0.5000, 0.5000, 0.0000)
Al (0.0000, 0.0000, 0.5000)
Al (0.0000, 0.5000, 0.0000)
Al (0.5000, 0.0000, 0.0000)
Al (0.5000, 0.5000, 0.5000)
Co (0.2500, 0.2500, 0.2500)
Co (0.2500, 0.7500, 0.7500)
Co (0.7500, 0.2500, 0.7500)
Co (0.7500, 0.7500, 0.2500)
Os (0.2500, 0.2500, 0.7500)
Os (0.2500, 0.7500, 0.2500)
Os (0.7500, 0.2500, 0.2500)
Os (0.7500, 0.7500, 0.7500)

Output
For the energy of formation from the pure elements, the calculation gives -0.098 eV per atom. The space group is F-43m. As for the density of states at the Fermi level: 1.081 states/eV per atom. The crystal system is cubic.